Record 1
{"formula": "CaZr3", "functional": "PBE-GGA", "state": "relaxed", "e_form_kcal_per_mol_atoms": 4.780, "dos_ef_per_ev_cell": 3.8, "sg": "Pmmm", "magmom_total_mub_per_atom": 0.000, "lattice": [[4.5248, 0.0000, 0.0000], [0.0000, 3.2562, 0.0262], [0.0000, 3.1944, 7.1707]], "species": ["Zr", "Zr", "Zr", "Ca"], "frac_coords": [[0.5000, 0.2096, 0.2900], [0.5000, 0.7904, 0.7100], [0.0000, 0.5000, 0.5000], [0.0000, 0.0000, 0.0000]]}

Record 2
{"formula": "CaZr", "functional": "PBE-GGA", "state": "relaxed", "e_form_kcal_per_mol_atoms": 11.985, "dos_ef_per_ev_cell": 17.4, "sg": "P6_3/mmc", "magmom_total_mub_per_atom": 0.000, "lattice": [[-4.3672, 2.6745, 0.5567], [1.4176, -3.3962, 3.6043], [5.3022, 7.6012, 5.0769]], "species": ["Zr", "Zr", "Zr", "Zr", "Ca", "Ca", "Ca", "Ca"], "frac_coords": [[0.3333, 0.6667, 0.7500], [0.0000, 0.0000, 0.7500], [0.6667, 0.3333, 0.2500], [0.0000, 0.0000, 0.2500], [0.3333, 0.6667, 0.0838], [0.6667, 0.3333, 0.9162], [0.6667, 0.3333, 0.5838], [0.3333, 0.6667, 0.4162]]}

Record 3
{"formula": "CaZr", "functional": "PBE-GGA", "state": "relaxed", "e_form_kcal_per_mol_atoms": 53.928, "dos_ef_per_ev_cell": 20.7, "sg": "F-43m", "magmom_total_mub_per_atom": 2.008, "lattice": [[7.5632, 0.0000, 0.0000], [0.0000, 7.5632, 0.0000], [0.0000, 0.0000, 7.5632]], "species": ["Ca", "Ca", "Ca", "Ca", "Zr", "Zr", "Zr", "Zr"], "frac_coords": [[0.2500, 0.7500, 0.7500], [0.7500, 0.2500, 0.7500], [0.2500, 0.2500, 0.2500], [0.7500, 0.7500, 0.2500], [0.5000, 0.0000, 0.5000], [0.0000, 0.5000, 0.5000], [0.0000, 0.0000, 0.0000], [0.5000, 0.5000, 0.0000]]}

Record 4
{"formula": "CaZr3", "functional": "PBE-GGA", "state": "relaxed", "e_form_kcal_per_mol_atoms": 5.621, "dos_ef_per_ev_cell": 7.4, "sg": "P4/mmm", "magmom_total_mub_per_atom": 0.000, "lattice": [[3.7643, 0.0000, 0.0000], [0.0000, 3.7643, 0.0000], [0.0000, 0.0000, 7.4498]], "species": ["Zr", "Zr", "Zr", "Ca"], "frac_coords": [[0.5000, 0.5000, 0.2990], [0.0000, 0.0000, 0.5000], [0.5000, 0.5000, 0.7010], [0.0000, 0.0000, 0.0000]]}

Record 5
{"formula": "Ca3Zr5", "functional": "PBE-GGA", "state": "relaxed", "e_form_kcal_per_mol_atoms": 6.471, "dos_ef_per_ev_cell": 19.5, "sg": "P-1", "magmom_total_mub_per_atom": 0.000, "lattice": [[7.0537, 0.1748, -0.3648], [-5.4817, 5.4185, 0.4952], [-1.1569, -2.6269, 11.3412]], "species": ["Zr", "Zr", "Zr", "Zr", "Zr", "Zr", "Zr", "Zr", "Zr", "Zr", "Ca", "Ca", "Ca", "Ca", "Ca", "Ca"], "frac_coords": [[0.1714, 0.5078, 0.3065], [0.2747, 0.0786, 0.7606], [0.7254, 0.0679, 0.7635], [0.2269, 0.7795, 0.5333], [0.2497, 0.4780, 0.6931], [0.7723, 0.2204, 0.4667], [0.7494, 0.5220, 0.3069], [0.7246, 0.9215, 0.2394], [0.8279, 0.4922, 0.6935], [0.2738, 0.9322, 0.2365], [0.2710, 0.2056, 0.4564], [0.7238, 0.2900, 0.0538], [0.2305, 0.2877, 0.0772], [0.7687, 0.7123, 0.9228], [0.2754, 0.7101, 0.9462], [0.7281, 0.7944, 0.5437]]}

Record 6
{"formula": "CaZr", "functional": "PBE-GGA", "state": "relaxed", "e_form_kcal_per_mol_atoms": 6.047, "dos_ef_per_ev_cell": 6.2, "sg": "Cm", "magmom_total_mub_per_atom": 0.000, "lattice": [[4.4292, -4.8728, 2.2801], [5.1085, -4.6238, -1.0414], [6.8539, 4.0943, 1.7088]], "species": ["Ca", "Ca", "Ca", "Zr", "Zr", "Zr"], "frac_coords": [[0.3397, 0.3397, 0.3298], [0.6063, 0.6063, 0.2544], [0.6607, 0.6607, 0.6929], [0.9797, 0.9797, 0.9876], [0.3060, 0.3060, 0.9277], [0.9410, 0.9410, 0.6410]]}

Please write out number 6 again, unchanged.
{"formula": "CaZr", "functional": "PBE-GGA", "state": "relaxed", "e_form_kcal_per_mol_atoms": 6.047, "dos_ef_per_ev_cell": 6.2, "sg": "Cm", "magmom_total_mub_per_atom": 0.000, "lattice": [[4.4292, -4.8728, 2.2801], [5.1085, -4.6238, -1.0414], [6.8539, 4.0943, 1.7088]], "species": ["Ca", "Ca", "Ca", "Zr", "Zr", "Zr"], "frac_coords": [[0.3397, 0.3397, 0.3298], [0.6063, 0.6063, 0.2544], [0.6607, 0.6607, 0.6929], [0.9797, 0.9797, 0.9876], [0.3060, 0.3060, 0.9277], [0.9410, 0.9410, 0.6410]]}